Run 1
DFT (PBE) results for an optimized crystal structure of TiAl4Tc.

Unit cell a=7.616 b=4.351 c=5.525 alpha=90.00 beta=90.40 gamma=90.00
Space group P2/c (No. 13)
Inequivalent atoms, fractional coordinates:
Ti: 0.000 0.001 0.250 (multiplicity 2)
Al: 0.172 0.497 0.977 (multiplicity 4)
Al: 0.340 0.004 0.560 (multiplicity 4)
Tc: 0.500 0.495 0.250 (multiplicity 2)

Calculated values
D(E_F): 3.86 states/eV/f.u.



Run 2
DFT (PBE) results for an optimized crystal structure of TiAl4Tc.

Unit cell a=6.875 b=11.806 c=5.097 alpha=90.00 beta=112.56 gamma=90.00
Space group C2/c (No. 15)
Inequivalent atoms, fractional coordinates:
Ti: 0.000 0.084 0.250 (multiplicity 4)
Al: 0.106 0.308 0.543 (multiplicity 8)
Al: 0.204 0.118 0.860 (multiplicity 8)
Tc: 0.000 0.499 0.750 (multiplicity 4)

Calculated values
D(E_F): 3.08 states/eV/f.u.



Question: of the structures shown, which is the most stable? Reply: run 2.